Compound: Tl2CrO4
Source: Alexandria via LeMat-Bulk
Functional: PBEsol
Structure: optimized geometry

```
Tl2CrO4
1.0
7.839 0.000 0.000
0.000 5.799 0.000
0.000 0.000 10.685
Tl Cr O
8 4 16
direct
0.011 0.250 0.209
0.177 0.750 0.423
0.323 0.250 0.923
0.489 0.750 0.709
0.511 0.250 0.291
0.677 0.750 0.077
0.823 0.250 0.577
0.989 0.750 0.791
0.220 0.750 0.076
0.280 0.250 0.576
0.720 0.750 0.424
0.780 0.250 0.924
0.011 0.750 0.089
0.201 0.014 0.640
0.201 0.486 0.640
0.228 0.250 0.425
0.272 0.750 0.925
0.299 0.514 0.140
0.299 0.986 0.140
0.489 0.250 0.589
0.511 0.750 0.411
0.701 0.014 0.860
0.701 0.486 0.860
0.728 0.250 0.075
0.772 0.750 0.575
0.799 0.514 0.360
0.799 0.986 0.360
0.989 0.250 0.911
```

Results
E_form (uncorrected) (meV per atom): -1412
Space group: Pnma (62)
ΔE to the lowest computed polymorph (eV/atom): 0.003